# 1
Compound: Pr4H2Pb3
Source: Alexandria
Functional: PBE
Structure: optimized geometry

Properties
M_tot = 0.0 μB/cell
Raw total energy = -4.63 eV/atom

Cell lengths 6.8854, 8.6709, 8.6709 Å; angles 70.44, 78.83, 78.83 degrees
Last column: nearest neighbours and their distance in Å.
Fractional positions:
1 Pb 0.5718 0.7737 0.9950  5 Pr 3.19-3.40, 1 H 3.34
2 Pb 0.4282 0.2263 0.0050  5 Pr 3.19-3.40, 1 H 3.34
3 Pb 0.9282 0.0050 0.2263  5 Pr 3.19-3.40, 1 H 3.34
4 Pb 0.2500 0.5115 0.4885  6 Pr 3.23-3.57, 2 Pb 3.45, 2 H 3.46
5 Pb 0.0718 0.9950 0.7737  5 Pr 3.19-3.40, 1 H 3.34
6 Pb 0.7500 0.4885 0.5115  6 Pr 3.23-3.57, 2 Pb 3.45, 2 H 3.46
7 H 0.4359 0.1407 0.4097  4 Pr 2.37-2.47, 1 H 2.52
8 H 0.5641 0.8593 0.5903  4 Pr 2.37-2.47, 1 H 2.52
9 H 0.0641 0.5903 0.8593  4 Pr 2.37-2.47, 1 H 2.52
10 H 0.9359 0.4097 0.1407  4 Pr 2.37-2.47, 1 H 2.52
11 Pr 0.0935 0.2322 0.3808  2 H 2.37-2.44
12 Pr 0.0341 0.6679 0.1134  2 H 2.39-2.47
13 Pr 0.9659 0.3321 0.8866  2 H 2.39-2.47
14 Pr 0.5935 0.3808 0.2322  2 H 2.37-2.44
15 Pr 0.5341 0.1134 0.6679  2 H 2.39-2.47
16 Pr 0.4065 0.6192 0.7678  2 H 2.37-2.44
17 Pr 0.4659 0.8866 0.3321  2 H 2.39-2.47
18 Pr 0.9065 0.7678 0.6192  2 H 2.37-2.44

# 2
Compound: YCu2Te
Source: Alexandria
Functional: PBE
Structure: optimized geometry

Properties
ΔE_f (raw) = -4.69 kcal/mol of atoms
M_tot = 0.0 μB/cell

Cell lengths 5.0335, 5.0335, 4.6870 Å; angles 73.08, 73.08, 46.54 degrees
Last column: nearest neighbours and their distance in Å.
Fractional positions:
1 Te 0.7500 0.7500 0.7500  6 Cu 2.82-2.92, 4 Y 3.07
2 Y 0.2500 0.2500 0.2500  8 Cu 3.01-3.33, 4 Te 3.07
3 Cu 0.0078 0.0078 0.9477  2 Cu 2.75, 3 Te 2.82-2.92, 3 Y 3.01-3.08
4 Cu 0.4922 0.4922 0.5523  2 Cu 2.75, 3 Te 2.82-2.92, 3 Y 3.01-3.08

# 3
Compound: Pr3Nd6Th2
Source: Alexandria
Functional: PBE
Structure: optimized geometry

Properties
M_tot = 0.0 μB/cell
Formation energy from the elements = 0.023 eV per atom

Cell lengths 3.6637, 3.6637, 33.1379 Å; angles 86.83, 86.83, 60.00 degrees
Last column: nearest neighbours and their distance in Å.
Fractional positions:
1 Pr 0.2723 0.2723 0.1830  6 Pr 3.66, 6 Nd 3.68-3.78
2 Pr 0.7277 0.7277 0.8170  6 Pr 3.66, 6 Nd 3.68-3.78
3 Pr 0.0000 0.0000 0.0000  6 Pr 3.66, 6 Nd 3.71
4 Nd 0.9074 0.9074 0.2779  3 Th 3.58, 6 Nd 3.66, 3 Pr 3.78
5 Nd 0.1828 0.1828 0.4516  3 Th 3.56, 9 Nd 3.66-3.83
6 Nd 0.3640 0.3640 0.9080  6 Nd 3.66, 6 Pr 3.68-3.71
7 Nd 0.0926 0.0926 0.7221  3 Th 3.58, 6 Nd 3.66, 3 Pr 3.78
8 Nd 0.8172 0.8172 0.5484  3 Th 3.56, 9 Nd 3.66-3.83
9 Nd 0.6360 0.6360 0.0920  6 Nd 3.66, 6 Pr 3.68-3.71
10 Th 0.4550 0.4550 0.6349  6 Nd 3.56-3.58, 6 Th 3.66
11 Th 0.5450 0.5450 0.3651  6 Nd 3.56-3.58, 6 Th 3.66

# 4
Compound: GeBiAu2
Source: Alexandria
Functional: PBE
Structure: optimized geometry

Properties
M_tot = 0.0 μB/cell
Formation energy from the elements = 0.090 eV per atom
Energy above the most stable polymorph in this dataset = 99 meV/atom

Cell lengths 7.5055, 7.5055, 6.2459 Å; angles 53.07, 53.07, 90.00 degrees
Last column: nearest neighbours and their distance in Å.
Fractional positions:
1 Bi 0.0000 0.0000 0.0000  4 Au 2.98, 2 Ge 3.29
2 Bi 0.7500 0.2500 0.5000  4 Au 2.98, 2 Ge 3.29
3 Ge 0.5000 0.5000 0.0000  4 Au 2.60
4 Ge 0.2500 0.7500 0.5000  4 Au 2.60
5 Au 0.8750 0.8376 0.7500  2 Ge 2.60
6 Au 0.5876 0.1250 0.2500  2 Ge 2.60
7 Au 0.3750 0.4124 0.7500  2 Ge 2.60
8 Au 0.1624 0.6250 0.2500  2 Ge 2.60

# 5
Compound: PmThScAl
Source: Alexandria
Functional: PBE
Structure: optimized geometry

Properties
M_tot = 0.0 μB/cell
Formation energy from the elements = -0.050 eV per atom

Cell lengths 5.3325, 5.3325, 5.3325 Å; angles 60.00, 60.00, 60.00 degrees
Last column: nearest neighbours and their distance in Å.
Fractional positions:
1 Sc 0.0000 0.0000 0.0000  4 Pm 3.27, 4 Th 3.27
2 Th 0.2500 0.2500 0.2500  4 Sc 3.27, 4 Al 3.27
3 Al 0.5000 0.5000 0.5000  4 Th 3.27, 4 Pm 3.27
4 Pm 0.7500 0.7500 0.7500  4 Sc 3.27, 4 Al 3.27

# 6
Compound: CuCSN
Source: Alexandria
Functional: PBE
Structure: optimized geometry

Properties
ΔE_f (raw) = 28.73 kcal/mol of atoms
M_tot = 0.0 μB/cell
Energy above the most stable polymorph in this dataset = 1093 meV/atom

Cell lengths 2.9645, 4.0478, 4.6929 Å; angles 114.53, 108.50, 90.10 degrees
Last column: nearest neighbours and their distance in Å.
Fractional positions:
1 C 0.5261 0.7586 0.6662  2 S 1.87-1.88, 1 Cu 2.03
2 Cu 0.4568 0.1751 0.5275  2 N 1.95-1.96, 2 C 2.03-2.16
3 S 0.1659 0.8189 0.9437  1 N 1.66
4 N 0.1169 0.3725 0.8433  1 S 1.66

# 7
Compound: Mn8Fe3Co2
Source: Alexandria
Functional: PBE
Structure: optimized geometry

Properties
M_tot = 20.2 μB/cell
Formation energy from the elements = 0.454 eV per atom

Cell lengths 3.9219, 6.8073, 6.8073 Å; angles 69.95, 90.00, 90.00 degrees
Last column: nearest neighbours and their distance in Å.
Fractional positions:
1 Mn 0.0000 0.6202 0.6202  2 Co 2.46, 2 Fe 2.58, 6 Mn 2.66-2.71
2 Mn 0.0000 0.1409 0.1409  2 Co 2.29, 4 Fe 2.31-2.51
3 Mn 0.5000 0.6121 0.1343  2 Co 2.34-2.44, 3 Fe 2.44-2.48
4 Mn 0.5000 0.3879 0.8657  2 Co 2.34-2.44, 3 Fe 2.44-2.48
5 Mn 0.5000 0.1343 0.6121  2 Co 2.34-2.44, 3 Fe 2.44-2.48
6 Mn 0.5000 0.8657 0.3879  2 Co 2.34-2.44, 3 Fe 2.44-2.48
7 Mn 0.0000 0.8591 0.8591  2 Co 2.29, 4 Fe 2.31-2.51
8 Mn 0.0000 0.3798 0.3798  2 Co 2.46, 2 Fe 2.58, 6 Mn 2.66-2.71
9 Fe 0.0000 0.2172 0.7828  8 Mn 2.31-2.58
10 Fe 0.5000 0.0000 0.0000  8 Mn 2.48-2.51, 4 Fe 2.59, 2 Co 2.75
11 Fe 0.0000 0.7828 0.2172  8 Mn 2.31-2.58
12 Co 0.5000 0.7536 0.7536  8 Mn 2.29-2.46
13 Co 0.5000 0.2464 0.2464  8 Mn 2.29-2.46

# 8
Compound: CaAcNd
Source: Alexandria
Functional: PBE
Structure: optimized geometry

Properties
M_tot = 0.0 μB/cell
Formation energy from the elements = 0.038 eV per atom
Energy above the most stable polymorph in this dataset = 9 meV/atom

Cell lengths 3.8773, 5.3834, 11.6663 Å; angles 90.00, 90.00, 90.00 degrees
Last column: nearest neighbours and their distance in Å.
Fractional positions:
1 Ac 0.8725 0.2911 0.5171  5 Nd 3.67-3.83, 2 Ac 3.88, 5 Ca 3.90-4.04
2 Ac 0.3723 0.7911 0.9952  5 Nd 3.67-3.83, 2 Ac 3.88, 5 Ca 3.90-4.04
3 Nd 0.3724 0.7911 0.6806  5 Ac 3.67-3.83, 6 Nd 3.76-3.88, 1 Ca 3.96
4 Nd 0.8724 0.2911 0.8317  5 Ac 3.67-3.83, 6 Nd 3.76-3.88, 1 Ca 3.96
5 Ca 0.3726 0.7912 0.3415  6 Ca 3.87-3.88, 5 Ac 3.90-4.04, 1 Nd 3.96
6 Ca 0.8724 0.2911 0.1708  6 Ca 3.87-3.88, 5 Ac 3.90-4.04, 1 Nd 3.96

One value per record, in order, for density of states at the Fermi level: 5.68, 1.80, 16.96, 1.76, 6.39, 1.65, 18.29, 4.66 states/eV/f.u..